i:
Below is SrSi3C after structural relaxation, with properties calculated at the PBE-GGA level.

Computed properties:
DOS(E_F) (states/eV per atom): 1.041

a b c (Å): 5.647 5.647 5.647
angles (deg): 90.00 90.00 90.00
Fractional coordinates of all 5 atoms:
Sr  0.000  0.000  0.000
Si  0.000  0.000  0.500
Si  0.000  0.500  0.000
Si  0.500  0.000  0.000
C  0.500  0.500  0.500

***

ii:
Below is SrSi3C after structural relaxation, with properties calculated at the PBE-GGA level.

Computed properties:
DOS(E_F) (states/eV per atom): 0.715

a b c (Å): 4.411 4.411 4.411
angles (deg): 90.00 90.00 90.00
Fractional coordinates of all 5 atoms:
Sr  0.000  0.000  0.000
Si  0.000  0.500  0.500
Si  0.500  0.000  0.500
Si  0.500  0.500  0.000
C  0.500  0.500  0.500

***

Short version: i is the least stable of them.

***

i:
Below is TaSi3C after structural relaxation, with properties calculated at the PBE-GGA level.

Computed properties:
DOS(E_F) (states/eV per atom): 1.047

a b c (Å): 4.893 4.893 4.893
angles (deg): 90.00 90.00 90.00
Fractional coordinates of all 5 atoms:
Ta  0.000  0.000  0.000
Si  0.000  0.000  0.500
Si  0.000  0.500  0.000
Si  0.500  0.000  0.000
C  0.500  0.500  0.500

***

ii:
Below is TaSi3C after structural relaxation, with properties calculated at the PBE-GGA level.

Computed properties:
DOS(E_F) (states/eV per atom): 0.455

a b c (Å): 4.029 4.029 4.029
angles (deg): 90.00 90.00 90.00
Fractional coordinates of all 5 atoms:
Ta  0.000  0.000  0.000
Si  0.000  0.500  0.500
Si  0.500  0.000  0.500
Si  0.500  0.500  0.000
C  0.500  0.500  0.500

***

Short version: i is the least stable of them.

***

i:
Below is Tb4Si2C after structural relaxation, with properties calculated at the PBE-GGA level.

Computed properties:
DOS(E_F) (states/eV per atom): 0.143

a b c (Å): 4.705 4.705 15.183
angles (deg): 90.00 90.00 90.00
Fractional coordinates of all 14 atoms:
Tb  0.000  0.000  0.169
Tb  0.000  0.000  0.831
Tb  0.000  0.500  0.000
Tb  0.000  0.500  0.500
Tb  0.500  0.000  0.000
Tb  0.500  0.000  0.500
Tb  0.500  0.500  0.331
Tb  0.500  0.500  0.669
Si  0.000  0.000  0.364
Si  0.000  0.000  0.636
Si  0.500  0.500  0.136
Si  0.500  0.500  0.864
C  0.000  0.000  0.000
C  0.500  0.500  0.500

***

ii:
Below is Tb4Si2C after structural relaxation, with properties calculated at the PBE-GGA level.

Computed properties:
DOS(E_F) (states/eV per atom): 0.829

a b c (Å): 11.345 3.974 8.240
angles (deg): 90.00 124.07 90.00
Fractional coordinates of all 14 atoms:
Tb  0.081  0.000  0.346
Tb  0.165  0.500  0.076
Tb  0.335  0.000  0.924
Tb  0.419  0.500  0.654
Tb  0.581  0.500  0.346
Tb  0.665  0.000  0.076
Tb  0.835  0.500  0.924
Tb  0.919  0.000  0.654
Si  0.117  0.500  0.648
Si  0.383  0.000  0.352
Si  0.617  0.000  0.648
Si  0.883  0.500  0.352
C  0.000  0.000  0.000
C  0.500  0.500  0.000

***

Short version: i is the least stable of them.

***

i:
Below is Si3TcC after structural relaxation, with properties calculated at the PBE-GGA level.

Computed properties:
DOS(E_F) (states/eV per atom): 0.111

a b c (Å): 4.624 4.624 4.624
angles (deg): 90.00 90.00 90.00
Fractional coordinates of all 5 atoms:
Si  0.000  0.000  0.500
Si  0.000  0.500  0.000
Si  0.500  0.000  0.000
Tc  0.000  0.000  0.000
C  0.500  0.500  0.500

***

ii:
Below is Si3TcC after structural relaxation, with properties calculated at the PBE-GGA level.

Computed properties:
DOS(E_F) (states/eV per atom): 0.791

a b c (Å): 3.944 3.944 3.944
angles (deg): 90.00 90.00 90.00
Fractional coordinates of all 5 atoms:
Si  0.000  0.000  0.500
Si  0.000  0.500  0.000
Si  0.500  0.000  0.000
Tc  0.500  0.500  0.500
C  0.000  0.000  0.000

***

Short version: i is the least stable of them.

***

i:
Below is SiTe2C2 after structural relaxation, with properties calculated at the PBE-GGA level.

Computed properties:
DOS(E_F) (states/eV per atom): 0.597

a b c (Å): 4.823 4.823 7.237
angles (deg): 90.00 90.00 90.00
Fractional coordinates of all 10 atoms:
Si  0.000  0.000  0.000
Si  0.500  0.500  0.500
Te  0.000  0.500  0.250
Te  0.000  0.500  0.750
Te  0.500  0.000  0.250
Te  0.500  0.000  0.750
C  0.000  0.000  0.409
C  0.000  0.000  0.591
C  0.500  0.500  0.091
C  0.500  0.500  0.909

***

ii:
Below is SiTe2C2 after structural relaxation, with properties calculated at the PBE-GGA level.

Computed properties:
DOS(E_F) (states/eV per atom): 0.549

a b c (Å): 7.312 7.312 3.300
angles (deg): 90.00 90.00 90.00
Fractional coordinates of all 10 atoms:
Si  0.000  0.000  0.000
Si  0.500  0.500  0.000
Te  0.163  0.337  0.500
Te  0.337  0.837  0.500
Te  0.663  0.163  0.500
Te  0.837  0.663  0.500
C  0.205  0.705  0.000
C  0.295  0.205  0.000
C  0.705  0.795  0.000
C  0.795  0.295  0.000

***

Short version: ii is the least stable of them.

***

i:
Below is SiTe2C after structural relaxation, with properties calculated at the PBE-GGA level.

Computed properties:
DOS(E_F) (states/eV per atom): 0.648

a b c (Å): 4.243 4.243 21.641
angles (deg): 90.00 90.00 120.00
Fractional coordinates of all 12 atoms:
Si  0.000  0.000  0.000
Si  0.333  0.667  0.667
Si  0.667  0.333  0.333
Te  0.000  0.000  0.409
Te  0.000  0.000  0.591
Te  0.333  0.667  0.076
Te  0.333  0.667  0.258
Te  0.667  0.333  0.742
Te  0.667  0.333  0.924
C  0.000  0.000  0.500
C  0.333  0.667  0.167
C  0.667  0.333  0.833

***

ii:
Below is SiTe2C after structural relaxation, with properties calculated at the PBE-GGA level.

Computed properties:
DOS(E_F) (states/eV per atom): 0.523

a b c (Å): 6.596 6.596 8.415
angles (deg): 90.00 90.00 90.00
Fractional coordinates of all 16 atoms:
Si  0.000  0.000  0.000
Si  0.000  0.500  0.250
Si  0.500  0.000  0.750
Si  0.500  0.500  0.500
Te  0.196  0.250  0.625
Te  0.250  0.696  0.875
Te  0.250  0.804  0.375
Te  0.304  0.250  0.125
Te  0.696  0.750  0.125
Te  0.750  0.196  0.375
Te  0.750  0.304  0.875
Te  0.804  0.750  0.625
C  0.000  0.000  0.500
C  0.000  0.500  0.750
C  0.500  0.000  0.250
C  0.500  0.500  0.000

***

Short version: i is the least stable of them.